(1)
VASP calculation (GGA-PBE) on a geometry-optimized Lu2InRu structure.

Results
For the raw total energy, the calculation gives -5.6351 eV per atom. Its space group is Fm-3m, No. 225. The value obtained for the excess energy over the best structure of this formula in the dataset is 172 meV/atom. The magnetic moment comes out at 0.004 μB per atom. The energy relative to the elements comes out at -0.371 eV per atom.

Cell lengths 4.958, 4.958, 4.958 Å; angles 60.00, 60.00, 60.00 degrees
Fractional positions:
Ru: 0.500 0.500 0.500
Lu: 0.250 0.250 0.250
Lu: 0.750 0.750 0.750
In: 0.000 0.000 0.000

=====

(2)
VASP calculation (GGA-PBE) on a geometry-optimized Lu2InRu structure.

Results
For the raw total energy, the calculation gives -5.8071 eV per atom. Its space group is P4/mmm, No. 123. The value obtained for the excess energy over the best structure of this formula in the dataset is 0 meV/atom. The magnetic moment comes out at 0.000 μB per atom. The energy relative to the elements comes out at -0.543 eV per atom.

Cell lengths 3.389, 3.389, 7.659 Å; angles 90.00, 90.00, 90.00 degrees
Fractional positions:
Ru: 0.500 0.500 0.000
Lu: 0.000 0.000 0.790
Lu: 0.000 0.000 0.210
In: 0.500 0.500 0.500

=====

(3)
VASP calculation (GGA-PBE) on a geometry-optimized LuIn2Ru structure.

Results
For the raw total energy, the calculation gives -4.9878 eV per atom. Its space group is Fm-3m, No. 225. The magnetic moment comes out at 0.000 μB per atom. The energy relative to the elements comes out at -0.169 eV per atom.

Cell lengths 4.823, 4.823, 4.823 Å; angles 60.00, 60.00, 60.00 degrees
Fractional positions:
Ru: 0.500 0.500 0.500
Lu: 0.000 0.000 0.000
In: 0.250 0.250 0.250
In: 0.750 0.750 0.750

=====

(4)
VASP calculation (GGA-PBE) on a geometry-optimized LuInRu structure.

Results
For the raw total energy, the calculation gives -5.7346 eV per atom. Its space group is F-43m, No. 216. The magnetic moment comes out at 0.000 μB per atom. The energy relative to the elements comes out at -0.223 eV per atom.

Cell lengths 4.597, 4.597, 4.597 Å; angles 60.00, 60.00, 60.00 degrees
Fractional positions:
Ru: 0.250 0.250 0.250
Lu: 0.000 0.000 0.000
In: 0.500 0.500 0.500

=====

(5)
VASP calculation (GGA-PBE) on a geometry-optimized LuInRu4 structure.

Results
For the raw total energy, the calculation gives -7.4682 eV per atom. Its space group is F-43m, No. 216. The magnetic moment comes out at 0.000 μB per atom. The energy relative to the elements comes out at -0.074 eV per atom.

Cell lengths 5.242, 5.242, 5.242 Å; angles 60.00, 60.00, 60.00 degrees
Fractional positions:
Ru: 0.625 0.625 0.124
Ru: 0.625 0.124 0.625
Ru: 0.625 0.625 0.625
Ru: 0.124 0.625 0.625
Lu: 0.250 0.250 0.250
In: 0.000 0.000 0.000

=====

(6)
VASP calculation (GGA-PBE) on a geometry-optimized LuIn2Ru structure.

Results
For the raw total energy, the calculation gives -4.9653 eV per atom. Its space group is P4/mmm, No. 123. The magnetic moment comes out at 0.043 μB per atom. The energy relative to the elements comes out at -0.147 eV per atom.

Cell lengths 3.329, 3.329, 7.480 Å; angles 90.00, 90.00, 90.00 degrees
Last column: magnetic moment on the atom in μB.
Fractional positions:
Ru: 0.500 0.500 0.000  -0.01
Lu: 0.500 0.500 0.500  0.14
In: 0.000 0.000 0.794  0.00
In: 0.000 0.000 0.206  0.00